Computed, not measured: FeCuF2 after structural relaxation at the PBE+U level of DFT.

Calculated values
- space-group type = R-3m (166)
- ρ (g/cm³) = 5.31
- total magnetic moment (μB per atom) = 0.842
- E above lowest polymorph (meV per atom) = 237
- DOS at the Fermi energy (states/eV/cell) = 0.903

Cell: 7.2292 7.2292 7.2292 Å, 22.67 22.67 22.67°
Fractional coordinates of all 4 atoms:
F: 0.9079 0.9079 0.9079
F: 0.0921 0.0921 0.0921
Cu: 0.5000 0.5000 0.5000
Fe: 0.0000 0.0000 0.0000